Material: MgIn3Hg9
Method: DFT, PBE
State: relaxed

Unit cell a=5.143 b=13.395 c=10.716 alpha=90.00 beta=68.30 gamma=90.00
Atoms (fractional coordinates):
Mg 0.268 0.250 0.431
Mg 0.732 0.750 0.569
In 0.000 0.000 0.000
In 0.000 0.500 0.000
In 0.195 0.490 0.674
In 0.195 0.010 0.674
In 0.805 0.990 0.326
In 0.805 0.510 0.326
Hg 0.000 0.250 0.001
Hg 0.603 0.893 0.794
Hg 0.603 0.607 0.794
Hg 0.234 0.880 0.429
Hg 0.234 0.620 0.429
Hg 0.192 0.250 0.705
Hg 0.426 0.872 0.108
Hg 0.426 0.628 0.108
Hg 0.859 0.250 0.293
Hg 0.141 0.750 0.707
Hg 0.574 0.128 0.892
Hg 0.574 0.372 0.892
Hg 0.808 0.750 0.295
Hg 0.766 0.120 0.571
Hg 0.766 0.380 0.571
Hg 0.397 0.107 0.206
Hg 0.397 0.393 0.206
Hg 0.000 0.750 0.999

Output
DFT formation energy = -0.004 eV/atom
SG = P2_1/m, No. 11
VASP energy = -0.97 eV/atom
Crystal system = monoclinic

***

Material: Mg3InHg6
Method: DFT, PBE
State: relaxed

Unit cell a=7.815 b=8.091 c=8.091 alpha=107.12 beta=90.00 gamma=90.00
Atoms (fractional coordinates):
Mg 0.423 0.895 0.731
Mg 0.923 0.731 0.895
Mg 0.266 0.442 0.558
Mg 0.766 0.558 0.442
Mg 0.923 0.105 0.269
Mg 0.423 0.269 0.105
In 0.097 0.137 0.863
In 0.597 0.863 0.137
Hg 0.076 0.763 0.581
Hg 0.576 0.581 0.763
Hg 0.244 0.520 0.937
Hg 0.744 0.937 0.520
Hg 0.223 0.914 0.086
Hg 0.914 0.344 0.656
Hg 0.414 0.656 0.344
Hg 0.723 0.086 0.914
Hg 0.244 0.063 0.480
Hg 0.744 0.480 0.063
Hg 0.076 0.419 0.237
Hg 0.576 0.237 0.419

Output
DFT formation energy = -0.082 eV/atom
SG = Cmc2_1, No. 36
VASP energy = -1.02 eV/atom
Crystal system = orthorhombic
Distance to the lowest polymorph of the same formula = 0.03 eV per formula unit

***

Material: Mg3In5Hg12
Method: DFT, PBE
State: relaxed

Unit cell a=14.709 b=14.709 c=14.709 alpha=109.47 beta=109.47 gamma=109.47
Atoms (fractional coordinates):
Mg 0.750 0.375 0.125
Mg 0.875 0.750 0.125
Mg 0.375 0.750 0.625
Mg 0.250 0.125 0.375
Mg 0.875 0.125 0.250
Mg 0.375 0.625 0.250
Mg 0.625 0.375 0.750
Mg 0.125 0.875 0.750
Mg 0.750 0.875 0.625
Mg 0.625 0.250 0.375
Mg 0.125 0.250 0.875
Mg 0.250 0.625 0.875
In 0.125 0.375 0.250
In 0.000 0.500 0.000
In 0.000 0.000 0.000
In 0.375 0.250 0.125
In 0.500 0.000 0.500
In 0.500 0.500 0.000
In 0.125 0.750 0.375
In 0.750 0.125 0.875
In 0.750 0.625 0.375
In 0.375 0.125 0.750
In 0.625 0.875 0.250
In 0.500 0.500 0.500
In 0.500 0.000 0.000
In 0.000 0.000 0.500
In 0.250 0.375 0.625
In 0.250 0.875 0.125
In 0.000 0.500 0.500
In 0.875 0.250 0.625
In 0.625 0.750 0.875
In 0.875 0.625 0.750
Hg 0.736 0.140 0.070
Hg 0.333 0.570 0.430
Hg 0.930 0.360 0.264
Hg 0.570 0.236 0.140
Hg 0.597 0.736 0.667
Hg 0.930 0.570 0.167
Hg 0.333 0.764 0.403
Hg 0.070 0.903 0.140
Hg 0.570 0.930 0.667
Hg 0.736 0.597 0.167
Hg 0.764 0.430 0.360
Hg 0.833 0.930 0.070
Hg 0.140 0.736 0.570
Hg 0.360 0.430 0.097
Hg 0.097 0.930 0.360
Hg 0.403 0.140 0.570
Hg 0.097 0.167 0.236
Hg 0.430 0.667 0.070
Hg 0.833 0.903 0.264
Hg 0.140 0.403 0.070
Hg 0.360 0.930 0.764
Hg 0.570 0.640 0.403
Hg 0.930 0.833 0.570
Hg 0.764 0.333 0.903
Hg 0.430 0.360 0.597
Hg 0.070 0.167 0.430
Hg 0.236 0.667 0.097
Hg 0.167 0.097 0.736
Hg 0.640 0.070 0.236
Hg 0.860 0.597 0.930
Hg 0.570 0.333 0.930
Hg 0.597 0.860 0.430
Hg 0.903 0.833 0.764
Hg 0.903 0.070 0.640
Hg 0.860 0.264 0.430
Hg 0.167 0.070 0.930
Hg 0.640 0.570 0.903
Hg 0.430 0.070 0.333
Hg 0.264 0.403 0.833
Hg 0.236 0.570 0.640
Hg 0.930 0.097 0.860
Hg 0.667 0.236 0.597
Hg 0.430 0.764 0.860
Hg 0.070 0.430 0.833
Hg 0.403 0.264 0.333
Hg 0.070 0.640 0.736
Hg 0.667 0.430 0.570
Hg 0.264 0.860 0.930

Output
DFT formation energy = 0.089 eV/atom
SG = Ia-3d, No. 230
VASP energy = -1.02 eV/atom
Crystal system = cubic

***

Material: MgInHg6
Method: DFT, PBE
State: relaxed

Unit cell a=4.455 b=4.455 c=10.109 alpha=90.00 beta=90.00 gamma=90.00
Atoms (fractional coordinates):
Mg 0.000 0.000 0.500
In 0.000 0.000 0.000
Hg 0.500 0.500 0.000
Hg 0.500 0.500 0.500
Hg 0.500 0.000 0.264
Hg 0.500 0.000 0.736
Hg 0.000 0.500 0.264
Hg 0.000 0.500 0.736

Output
DFT formation energy = -0.023 eV/atom
SG = P4/mmm, No. 123
VASP energy = -0.79 eV/atom
Crystal system = tetragonal
Distance to the lowest polymorph of the same formula = 0.00 eV per formula unit

***

Material: Mg8In2Hg3
Method: DFT, PBE
State: relaxed

Unit cell a=5.086 b=7.908 c=7.908 alpha=80.81 beta=79.05 gamma=79.05
Atoms (fractional coordinates):
Mg 0.207 0.569 0.569
Mg 0.793 0.431 0.431
Mg 0.928 0.148 0.148
Mg 0.072 0.852 0.852
Mg 0.605 0.621 0.094
Mg 0.605 0.094 0.621
Mg 0.395 0.906 0.379
Mg 0.395 0.379 0.906
In 0.363 0.300 0.300
In 0.637 0.700 0.700
Hg 0.500 0.000 0.000
Hg 0.000 0.248 0.752
Hg 0.000 0.752 0.248

Output
DFT formation energy = -0.083 eV/atom
SG = C2/m, No. 12
VASP energy = -1.55 eV/atom
Crystal system = monoclinic

***

Material: Mg2InHg3
Method: DFT, PBE
State: relaxed

Unit cell a=3.568 b=3.568 c=10.916 alpha=90.00 beta=90.00 gamma=90.00
Atoms (fractional coordinates):
Mg 0.500 0.500 0.843
Mg 0.500 0.500 0.157
In 0.500 0.500 0.500
Hg 0.000 0.000 0.000
Hg 0.000 0.000 0.687
Hg 0.000 0.000 0.313

Output
DFT formation energy = -0.126 eV/atom
SG = P4/mmm, No. 123
VASP energy = -1.26 eV/atom
Crystal system = tetragonal

***

Material: Mg3InHg3
Method: DFT, PBE
State: relaxed

Unit cell a=5.170 b=8.461 c=8.461 alpha=120.00 beta=90.00 gamma=90.00
Atoms (fractional coordinates):
Mg 0.250 0.795 0.756
Mg 0.250 0.244 0.039
Mg 0.250 0.961 0.205
Mg 0.750 0.205 0.244
Mg 0.750 0.756 0.961
Mg 0.750 0.039 0.795
In 0.250 0.667 0.333
In 0.750 0.333 0.667
Hg 0.750 0.644 0.558
Hg 0.750 0.442 0.086
Hg 0.750 0.914 0.356
Hg 0.250 0.356 0.442
Hg 0.250 0.558 0.914
Hg 0.250 0.086 0.644

Output
DFT formation energy = -0.101 eV/atom
SG = P6_3/m, No. 176
VASP energy = -1.30 eV/atom
Crystal system = hexagonal
Distance to the lowest polymorph of the same formula = 0.25 eV per formula unit

***

Material: Mg5InHg4
Method: DFT, PBE
State: relaxed

Unit cell a=3.574 b=3.574 c=17.084 alpha=90.00 beta=90.00 gamma=90.00
Atoms (fractional coordinates):
Mg 0.500 0.500 0.109
Mg 0.500 0.500 0.304
Mg 0.500 0.500 0.500
Mg 0.500 0.500 0.696
Mg 0.500 0.500 0.891
In 0.000 0.000 0.000
Hg 0.000 0.000 0.204
Hg 0.000 0.000 0.401
Hg 0.000 0.000 0.599
Hg 0.000 0.000 0.796

Output
DFT formation energy = -0.195 eV/atom
SG = P4/mmm, No. 123
VASP energy = -1.39 eV/atom
Crystal system = tetragonal

***

Material: Mg7InHg2
Method: DFT, PBE
State: relaxed

Unit cell a=4.982 b=7.956 c=7.956 alpha=117.58 beta=90.00 gamma=90.00
Atoms (fractional coordinates):
Mg 0.000 0.778 0.222
Mg 0.000 0.222 0.778
Mg 0.500 0.069 0.301
Mg 0.500 0.931 0.699
Mg 0.500 0.301 0.069
Mg 0.500 0.699 0.931
Mg 0.500 0.500 0.500
In 0.000 0.000 0.000
Hg 0.500 0.700 0.300
Hg 0.500 0.300 0.700

Output
DFT formation energy = 0.058 eV/atom
SG = Cmmm, No. 65
VASP energy = -1.39 eV/atom
Crystal system = orthorhombic

***

Material: MgIn2Hg
Method: DFT, PBE
State: relaxed

Unit cell a=4.344 b=4.344 c=11.385 alpha=79.00 beta=79.00 gamma=90.00
Atoms (fractional coordinates):
Mg 0.500 0.500 0.000
Mg 0.250 0.750 0.500
Hg 0.000 0.000 0.000
Hg 0.750 0.250 0.500
In 0.623 0.125 0.250
In 0.127 0.625 0.250
In 0.375 0.377 0.750
In 0.875 0.873 0.750

Output
DFT formation energy = -0.005 eV/atom
SG = I-42d, No. 122
VASP energy = -1.85 eV/atom
Crystal system = tetragonal

***

Material: Mg2InHg
Method: DFT, PBE
State: relaxed

Unit cell a=5.113 b=5.113 c=5.113 alpha=60.00 beta=60.00 gamma=60.00
Atoms (fractional coordinates):
Hg 0.500 0.500 0.500
In 0.750 0.750 0.750
Mg 0.000 0.000 0.000
Mg 0.250 0.250 0.250

Output
DFT formation energy = -0.025 eV/atom
SG = F-43m, No. 216
VASP energy = -1.58 eV/atom
Crystal system = cubic

***

Material: Mg6In2Hg
Method: DFT, PBE
State: relaxed

Unit cell a=4.470 b=5.499 c=9.483 alpha=104.44 beta=90.00 gamma=113.98
Atoms (fractional coordinates):
Mg 0.340 0.680 0.945
Mg 0.660 0.320 0.055
Mg 0.992 0.985 0.172
Mg 0.658 0.315 0.396
Mg 0.008 0.015 0.828
Mg 0.342 0.685 0.604
In 0.685 0.370 0.734
In 0.315 0.630 0.266
Hg 0.000 0.000 0.500

Output
DFT formation energy = -0.090 eV/atom
SG = C2/m, No. 12
VASP energy = -1.80 eV/atom
Crystal system = monoclinic
Distance to the lowest polymorph of the same formula = 0.33 eV per formula unit

***

Material: Mg2In2Hg
Method: DFT, PBE
State: relaxed

Unit cell a=4.929 b=4.929 c=11.487 alpha=90.00 beta=90.00 gamma=120.00
Atoms (fractional coordinates):
Mg 0.667 0.333 0.750
Mg 0.000 0.000 0.000
Mg 0.000 0.000 0.500
Mg 0.333 0.667 0.250
In 0.333 0.667 0.596
In 0.667 0.333 0.096
In 0.667 0.333 0.404
In 0.333 0.667 0.904
Hg 0.000 0.000 0.250
Hg 0.000 0.000 0.750

Output
DFT formation energy = -0.062 eV/atom
SG = P6_3/mmc, No. 194
VASP energy = -1.86 eV/atom
Crystal system = hexagonal
Distance to the lowest polymorph of the same formula = 0.29 eV per formula unit

***

Material: MgIn6Hg8
Method: DFT, PBE
State: relaxed

Unit cell a=7.415 b=7.415 c=7.415 alpha=83.38 beta=83.38 gamma=83.38
Atoms (fractional coordinates):
Mg 0.000 0.000 0.000
In 0.689 0.357 0.956
In 0.956 0.689 0.357
In 0.357 0.956 0.689
In 0.311 0.643 0.044
In 0.044 0.311 0.643
In 0.643 0.044 0.311
Hg 0.396 0.396 0.396
Hg 0.604 0.604 0.604
Hg 0.308 0.248 0.955
Hg 0.955 0.308 0.248
Hg 0.248 0.955 0.308
Hg 0.692 0.752 0.045
Hg 0.045 0.692 0.752
Hg 0.752 0.045 0.692

Output
DFT formation energy = -0.007 eV/atom
SG = R-3, No. 148
VASP energy = -1.37 eV/atom
Crystal system = trigonal

***

Material: Mg2In2Hg7
Method: DFT, PBE
State: relaxed

Unit cell a=3.584 b=10.413 c=10.413 alpha=48.91 beta=106.84 gamma=106.84
Atoms (fractional coordinates):
Mg 0.705 0.258 0.258
Mg 0.295 0.742 0.742
In 0.000 0.291 0.709
In 0.000 0.709 0.291
Hg 0.945 0.025 0.651
Hg 0.055 0.349 0.975
Hg 0.055 0.975 0.349
Hg 0.945 0.651 0.025
Hg 0.500 0.000 0.000
Hg 0.589 0.611 0.611
Hg 0.411 0.389 0.389

Output
DFT formation energy = -0.056 eV/atom
SG = C2/m, No. 12
VASP energy = -1.04 eV/atom
Crystal system = monoclinic
Distance to the lowest polymorph of the same formula = 0.00 eV per formula unit

***

Material: Mg2InHg4
Method: DFT, PBE
State: relaxed

Unit cell a=5.705 b=5.730 c=11.159 alpha=114.40 beta=144.14 gamma=81.76
Atoms (fractional coordinates):
Mg 0.702 0.686 0.495
Mg 0.298 0.314 0.505
In 0.000 0.000 0.000
Hg 0.981 0.258 0.625
Hg 0.019 0.742 0.375
Hg 0.500 0.000 0.000
Hg 0.000 0.500 0.000

Output
DFT formation energy = -0.041 eV/atom
SG = P-1, No. 2
VASP energy = -1.06 eV/atom
Crystal system = triclinic
Distance to the lowest polymorph of the same formula = 0.40 eV per formula unit

***

Material: MgIn5Hg
Method: DFT, PBE
State: relaxed

Unit cell a=5.743 b=5.743 c=11.331 alpha=89.99 beta=89.99 gamma=82.61
Atoms (fractional coordinates):
Mg 0.000 0.000 0.000
Mg 0.000 0.000 0.500
In 0.452 0.172 0.891
In 0.548 0.826 0.392
In 0.172 0.452 0.391
In 0.333 0.667 0.750
In 0.174 0.452 0.108
In 0.826 0.548 0.892
In 0.667 0.333 0.250
In 0.828 0.548 0.609
In 0.452 0.174 0.608
In 0.548 0.828 0.109
Hg 0.932 0.068 0.750
Hg 0.068 0.932 0.250

Output
DFT formation energy = 0.007 eV/atom
SG = C2/c, No. 15
VASP energy = -2.22 eV/atom
Crystal system = monoclinic

***

Material: Mg2In3Hg
Method: DFT, PBE
State: relaxed

Unit cell a=4.676 b=4.676 c=7.028 alpha=90.00 beta=90.00 gamma=90.00
Atoms (fractional coordinates):
Mg 0.500 0.000 0.714
Mg 0.000 0.500 0.286
In 0.500 0.000 0.302
In 0.000 0.500 0.698
In 0.000 0.000 0.000
Hg 0.500 0.500 0.000

Output
DFT formation energy = 0.002 eV/atom
SG = P-4m2, No. 115
VASP energy = -1.95 eV/atom
Crystal system = tetragonal
Distance to the lowest polymorph of the same formula = 0.25 eV per formula unit